Entry 1:
# VCdMo2I GGA-PBE optimized geometry
data_VCdMo2I
_space_group_name_H-M_alt 'P 4/m m m'
_space_group_IT_number 123
_space_group_name_Hall '-P 4 2'
_cell_length_a 4.660
_cell_length_b 4.660
_cell_length_c 5.227
_cell_angle_alpha 90.00
_cell_angle_beta 90.00
_cell_angle_gamma 90.00
loop_
_atom_site_label
_atom_site_type_symbol
_atom_site_fract_x
_atom_site_fract_y
_atom_site_fract_z
V1 V 0.000 0.000 0.000
Cd1 Cd 0.000 0.000 0.500
Mo1 Mo 0.000 0.500 0.000
I1 I 0.500 0.500 0.500
# VASP energy = -5.292 eV per atom
# E_form (uncorrected) = 6.8 eV/f.u.

---

Entry 2:
# Cd3IN GGA-PBE optimized geometry
data_Cd3IN
_space_group_name_H-M_alt 'P m -3 m'
_space_group_IT_number 221
_space_group_name_Hall '-P 4 2 3'
_cell_length_a 4.903
_cell_length_b 4.903
_cell_length_c 4.903
_cell_angle_alpha 90.00
_cell_angle_beta 90.00
_cell_angle_gamma 90.00
loop_
_atom_site_label
_atom_site_type_symbol
_atom_site_fract_x
_atom_site_fract_y
_atom_site_fract_z
Cd1 Cd 0.000 0.000 0.500
I1 I 0.500 0.500 0.500
N1 N 0.000 0.000 0.000
# VASP energy = -2.167 eV per atom
# E_form (uncorrected) = 1.8 eV/f.u.
# Energy above the lowest structure with this stoichiometry = 0 meV per atom

---

Entry 3:
# CdIN3 GGA-PBE optimized geometry
data_CdIN3
_space_group_name_H-M_alt 'P m -3 m'
_space_group_IT_number 221
_space_group_name_Hall '-P 4 2 3'
_cell_length_a 4.029
_cell_length_b 4.029
_cell_length_c 4.029
_cell_angle_alpha 90.00
_cell_angle_beta 90.00
_cell_angle_gamma 90.00
loop_
_atom_site_label
_atom_site_type_symbol
_atom_site_fract_x
_atom_site_fract_y
_atom_site_fract_z
Cd1 Cd 0.000 0.000 0.000
I1 I 0.500 0.500 0.500
N1 N 0.000 0.500 0.500
# VASP energy = -3.442 eV per atom
# E_form (uncorrected) = 10.2 eV/f.u.

---

Entry 4:
# CdI4N4 GGA-PBE optimized geometry
data_CdI4N4
_space_group_name_H-M_alt 'C 1 2/m 1'
_space_group_IT_number 12
_space_group_name_Hall '-C 2y'
_cell_length_a 12.789
_cell_length_b 6.278
_cell_length_c 8.384
_cell_angle_alpha 90.00
_cell_angle_beta 115.15
_cell_angle_gamma 90.00
loop_
_atom_site_label
_atom_site_type_symbol
_atom_site_fract_x
_atom_site_fract_y
_atom_site_fract_z
Cd1 Cd 0.000 0.000 0.000
I1 I 0.116 0.500 0.622
I2 I 0.195 0.500 0.216
N1 N 0.142 0.236 0.106
# VASP energy = -3.040 eV per atom
# E_form (uncorrected) = 13.1 eV/f.u.

---

Entry 5:
# CdIN GGA-PBE optimized geometry
data_CdIN
_space_group_name_H-M_alt 'P 1 21/c 1'
_space_group_IT_number 14
_space_group_name_Hall '-P 2ybc'
_cell_length_a 9.881
_cell_length_b 3.664
_cell_length_c 8.647
_cell_angle_alpha 90.00
_cell_angle_beta 96.66
_cell_angle_gamma 90.00
loop_
_atom_site_label
_atom_site_type_symbol
_atom_site_fract_x
_atom_site_fract_y
_atom_site_fract_z
Cd1 Cd 0.042 0.250 0.126
I1 I 0.299 0.244 0.345
N1 N 0.485 0.243 0.257
# VASP energy = -2.475 eV per atom
# E_form (uncorrected) = 3.4 eV/f.u.

---

Entry 6:
# CdI2N2 GGA-PBE optimized geometry
data_CdI2N2
_space_group_name_H-M_alt 'P 4/m m m'
_space_group_IT_number 123
_space_group_name_Hall '-P 4 2'
_cell_length_a 4.616
_cell_length_b 4.616
_cell_length_c 6.664
_cell_angle_alpha 90.00
_cell_angle_beta 90.00
_cell_angle_gamma 90.00
loop_
_atom_site_label
_atom_site_type_symbol
_atom_site_fract_x
_atom_site_fract_y
_atom_site_fract_z
Cd1 Cd 0.000 0.000 0.000
I1 I 0.000 0.000 0.500
I2 I 0.500 0.500 0.500
N1 N 0.000 0.500 0.000
# VASP energy = -2.544 eV per atom
# E_form (uncorrected) = 7.9 eV/f.u.
# Energy above the lowest structure with this stoichiometry = 1932 meV per atom

---

Entry 7:
# CdI2N2 GGA-PBE optimized geometry
data_CdI2N2
_space_group_name_H-M_alt 'P 4/m m m'
_space_group_IT_number 123
_space_group_name_Hall '-P 4 2'
_cell_length_a 6.094
_cell_length_b 6.094
_cell_length_c 4.326
_cell_angle_alpha 90.00
_cell_angle_beta 90.00
_cell_angle_gamma 90.00
loop_
_atom_site_label
_atom_site_type_symbol
_atom_site_fract_x
_atom_site_fract_y
_atom_site_fract_z
Cd1 Cd 0.000 0.000 0.000
I1 I 0.000 0.500 0.000
N1 N 0.000 0.000 0.500
N2 N 0.500 0.500 0.500
# VASP energy = -2.391 eV per atom
# E_form (uncorrected) = 8.7 eV/f.u.
# Energy above the lowest structure with this stoichiometry = 2085 meV per atom

---

Entry 8:
# CdIN3 GGA-PBE optimized geometry
data_CdIN3
_space_group_name_H-M_alt 'P m -3 m'
_space_group_IT_number 221
_space_group_name_Hall '-P 4 2 3'
_cell_length_a 4.437
_cell_length_b 4.437
_cell_length_c 4.437
_cell_angle_alpha 90.00
_cell_angle_beta 90.00
_cell_angle_gamma 90.00
loop_
_atom_site_label
_atom_site_type_symbol
_atom_site_fract_x
_atom_site_fract_y
_atom_site_fract_z
Cd1 Cd 0.000 0.000 0.000
I1 I 0.500 0.500 0.500
N1 N 0.000 0.000 0.500
# VASP energy = -2.982 eV per atom
# E_form (uncorrected) = 12.5 eV/f.u.

---

What did the fifth record say?
# CdIN GGA-PBE optimized geometry
data_CdIN
_space_group_name_H-M_alt 'P 1 21/c 1'
_space_group_IT_number 14
_space_group_name_Hall '-P 2ybc'
_cell_length_a 9.881
_cell_length_b 3.664
_cell_length_c 8.647
_cell_angle_alpha 90.00
_cell_angle_beta 96.66
_cell_angle_gamma 90.00
loop_
_atom_site_label
_atom_site_type_symbol
_atom_site_fract_x
_atom_site_fract_y
_atom_site_fract_z
Cd1 Cd 0.042 0.250 0.126
I1 I 0.299 0.244 0.345
N1 N 0.485 0.243 0.257
# VASP energy = -2.475 eV per atom
# E_form (uncorrected) = 3.4 eV/f.u.